(1)
NaY: relaxed, PBE-GGA.

abc: 10.9112 10.9112 10.9112
angles: 90.00 90.00 90.00
With the nearest neighbours (Å) after each atom.
Space group I-43m (No. 217)
Unique sites:
Na: 0.1983 0.1983 0.1983  4 Y 3.61-3.70
Y: 0.1057 0.1057 0.8943  3 Y 3.26, 3 Na 3.61

(2)
NaY: relaxed, PBE-GGA.

abc: 3.7053 5.7330 6.2295
angles: 90.00 90.00 90.00
With the nearest neighbours (Å) after each atom.
Space group Cmmm (No. 65)
Unique sites:
Na: 0.0000 0.0000 0.0000  6 Na 3.41-3.71, 4 Y 3.62
Y: 0.0000 0.5000 0.5000  6 Y 3.41-3.71, 4 Na 3.62

(3)
NaY: relaxed, PBE-GGA.

abc: 8.5440 10.0791 12.2563
angles: 90.00 90.00 90.00
With the nearest neighbours (Å) after each atom.
Space group Fddd (No. 70, origin choice 2)
Unique sites:
Na: 0.0368 0.3750 0.3750  1 Na 2.76
Y: 0.1250 0.2981 0.6250  6 Na 3.25-3.57, 1 Y 3.49

Computed values of E (unit: eV/cell) for the preceding records, in sequence: -46.3 -14.5 -107.7.
Computed values of ρ (unit: g/cm³) for the preceding records, in sequence: 1.144 2.808 2.817.
Computed values of energy relative to the elements (unit: kJ/mol of atoms) for the preceding records, in sequence: 96.02 26.35 50.68.